# 1
BeTl4 | PBEsol | optimized geometry

Structure (CIF):
```
data_BeTl4
_cell_length_a 4.159
_cell_length_b 4.159
_cell_length_c 16.526
_cell_angle_alpha 90.00
_cell_angle_beta 90.00
_cell_angle_gamma 90.00
_space_group_name_H-M_alt 'I 4/m m m'
_space_group_IT_number 139
_space_group_name_Hall '-I 4 2'
loop_
_atom_site_label
_atom_site_fract_x
_atom_site_fract_y
_atom_site_fract_z
_atom_site_occupancy
Be1 0.000 0.000 0.000 1
Tl1 0.000 0.000 0.410 1
Tl2 0.000 0.500 0.250 1
```

Properties
Uncorrected energy ... -2.27 eV per atom

# 2
Be2Tl | PBEsol | optimized geometry

Structure (CIF):
```
data_Be2Tl
_cell_length_a 4.294
_cell_length_b 4.294
_cell_length_c 9.776
_cell_angle_alpha 90.00
_cell_angle_beta 90.00
_cell_angle_gamma 90.00
_space_group_name_H-M_alt 'I 4/m c m'
_space_group_IT_number 140
_space_group_name_Hall '-I 4 2c'
loop_
_atom_site_label
_atom_site_fract_x
_atom_site_fract_y
_atom_site_fract_z
_atom_site_occupancy
Be1 0.176 0.324 0.000 1
Tl1 0.000 0.000 0.250 1
```

Properties
Energy above the most stable polymorph in this dataset ... 0 meV/atom
Uncorrected energy ... -3.07 eV per atom